## 1
A plane-wave DFT calculation with PBE was carried out for a geometry-optimized AgOs4 structure.

The total magnetic moment comes out at 0.31 Bohr magnetons per cell.

Unit cell a=4.6270 b=4.6270 c=4.6270 alpha=90.00 beta=90.00 gamma=90.00
Last column: nearest neighbours and their distance in Å.
Space group Pm-3m (No. 221)
Unique sites:
Ag1 0.0000 0.0000 0.0000 x1  6 Os 2.31
Os1 0.0000 0.0000 0.5000 x3  2 Ag 2.31
Os2 0.5000 0.5000 0.5000 x1  12 Os 3.27



## 2
A plane-wave DFT calculation with PBE was carried out for a geometry-optimized AgOs4 structure.

The total magnetic moment comes out at 0.00 Bohr magnetons per cell.

Unit cell a=3.8992 b=3.8992 c=11.3187 alpha=90.00 beta=90.00 gamma=90.00
Last column: nearest neighbours and their distance in Å.
Space group I4/mmm (No. 139)
Unique sites:
Ag1 0.0000 0.0000 0.0000 x2  8 Os 3.01
Os1 0.0000 0.0000 0.3932 x4  5 Os 2.42-2.54
Os2 0.0000 0.5000 0.2500 x4  8 Os 2.54-2.76



It turns out 2 is the most stable, with the second structure 2793 meV per atom higher.



## 1
A plane-wave DFT calculation with PBE was carried out for a geometry-optimized Ag2Os structure.

The total magnetic moment comes out at 2.04 Bohr magnetons per cell.

Unit cell a=2.6525 b=15.5563 c=4.8165 alpha=90.00 beta=90.00 gamma=90.00
Last column: nearest neighbours and their distance in Å.
Space group Cmcm (No. 63)
Unique sites:
Ag1 0.0000 0.0535 0.2500 x4  6 Ag 2.65-2.93, 6 Os 2.90-2.92
Ag2 0.0000 0.2789 0.7500 x4  8 Ag 2.65-2.93, 4 Os 2.89-2.93
Os1 0.0000 0.3864 0.2500 x4  2 Os 2.65, 10 Ag 2.89-2.93



## 2
A plane-wave DFT calculation with PBE was carried out for a geometry-optimized Ag2Os structure.

The total magnetic moment comes out at 1.10 Bohr magnetons per cell.

Unit cell a=10.8287 b=2.7880 c=6.9370 alpha=90.00 beta=107.03 gamma=90.00
Last column: nearest neighbours and their distance in Å.
Space group Cm (No. 8)
Unique sites:
Ag1 0.0000 0.0000 0.0000 x2  7 Ag 2.79-2.91, 5 Os 2.90-2.96
Ag2 0.0379 0.0000 0.6096 x2  8 Ag 2.79-2.94, 4 Os 3.00-3.03
Ag3 0.1495 0.5000 0.3402 x2  8 Ag 2.79-2.87, 4 Os 2.90-3.00
Ag4 0.3177 0.0000 0.6685 x2  9 Ag 2.79-2.94, 3 Os 2.88-3.07
Os1 0.2264 0.5000 0.9632 x2  4 Os 2.52-2.79
Os2 0.3615 0.0000 0.2512 x2  4 Os 2.52-2.79



## 3
A plane-wave DFT calculation with PBE was carried out for a geometry-optimized Ag2Os structure.

The total magnetic moment comes out at 1.67 Bohr magnetons per cell.

Unit cell a=2.6212 b=4.3280 c=19.4162 alpha=90.00 beta=90.00 gamma=90.00
Last column: nearest neighbours and their distance in Å.
Space group Imma (No. 74)
Unique sites:
Ag1 0.0000 0.2500 0.0403 x4  5 Ag 2.62-2.79, 4 Os 2.88
Ag2 0.0000 0.2500 0.1841 x4  5 Ag 2.62-2.88, 4 Os 2.90
Os1 0.0000 0.2500 0.6110 x4  2 Os 2.62, 8 Ag 2.88-2.90



It turns out 2 is the most stable, with the second structure 236 meV per atom higher.



## 1
A plane-wave DFT calculation with PBE was carried out for a geometry-optimized Ag2Os structure.

The total magnetic moment comes out at 0.00 Bohr magnetons per cell.

Unit cell a=5.6518 b=4.3827 c=8.2628 alpha=90.00 beta=90.00 gamma=90.00
Last column: nearest neighbours and their distance in Å.
Space group Pnma (No. 62)
Unique sites:
Ag1 0.0007 0.2500 0.1001 x4  6 Ag 2.75-2.89, 3 Os 2.78-2.84
Ag2 0.2494 0.2500 0.7501 x4  6 Ag 2.83-2.89, 6 Os 2.95-3.03
Os1 0.0006 0.2500 0.4367 x4  2 Os 2.43



## 2
A plane-wave DFT calculation with PBE was carried out for a geometry-optimized Ag2Os structure.

The total magnetic moment comes out at 0.01 Bohr magnetons per cell.

Unit cell a=2.6970 b=2.6970 c=13.5403 alpha=90.00 beta=90.00 gamma=90.00
Last column: nearest neighbours and their distance in Å.
Space group I4/mmm (No. 139)
Unique sites:
Ag1 0.0000 0.0000 0.1642 x4  8 Ag 2.70-3.01, 4 Os 2.93
Os1 0.0000 0.0000 0.5000 x2  4 Os 2.70, 8 Ag 2.93



It turns out 1 is the most stable, with the second structure 46 meV per atom higher.



## 1
A plane-wave DFT calculation with PBE was carried out for a geometry-optimized Ag2Os structure.

The total magnetic moment comes out at 1.02 Bohr magnetons per cell.

Unit cell a=10.8815 b=2.7827 c=6.8394 alpha=90.00 beta=104.63 gamma=90.00
Last column: nearest neighbours and their distance in Å.
Space group C2/m (No. 12)
Unique sites:
Ag1 0.0153 0.0000 0.3071 x4  7 Ag 2.74-2.94, 5 Os 2.92-2.96
Ag2 0.1425 0.5000 0.0331 x4  9 Ag 2.78-3.02, 3 Os 2.86-3.07
Os1 0.2086 0.5000 0.6231 x4  4 Os 2.52-2.78



## 2
A plane-wave DFT calculation with PBE was carried out for a geometry-optimized Ag2Os structure.

The total magnetic moment comes out at 0.00 Bohr magnetons per cell.

Unit cell a=2.7476 b=16.0439 c=4.4709 alpha=90.00 beta=90.00 gamma=90.00
Last column: nearest neighbours and their distance in Å.
Space group Cmcm (No. 63)
Unique sites:
Ag1 0.0000 0.0548 0.2500 x4  10 Ag 2.75-3.05
Ag2 0.0000 0.3847 0.2500 x4  8 Ag 2.75-3.05, 4 Os 2.87-2.88
Os1 0.0000 0.2729 0.7500 x4  6 Os 2.72-2.75, 4 Ag 2.87-2.88



It turns out 2 is the most stable, with the second structure 130 meV per atom higher.



## 1
A plane-wave DFT calculation with PBE was carried out for a geometry-optimized Ag2Os structure.

The total magnetic moment comes out at 3.99 Bohr magnetons per cell.

Unit cell a=5.0998 b=5.0998 c=9.3040 alpha=90.00 beta=90.00 gamma=120.00
Last column: nearest neighbours and their distance in Å.
Space group P6_3/mmc (No. 194)
Unique sites:
Ag1 0.0000 0.0000 0.0000 x2  6 Ag 2.76, 6 Os 2.95
Ag2 0.1683 0.3366 0.2500 x6  6 Ag 2.52-2.76
Os1 0.3333 0.6667 0.5189 x4  6 Ag 2.90-2.95, 3 Os 2.97



## 2
A plane-wave DFT calculation with PBE was carried out for a geometry-optimized Ag2Os structure.

The total magnetic moment comes out at 0.00 Bohr magnetons per cell.

Unit cell a=2.6467 b=4.3183 c=8.6701 alpha=90.00 beta=90.00 gamma=90.00
Last column: nearest neighbours and their distance in Å.
Space group Immm (No. 71)
Unique sites:
Ag1 0.0000 0.0000 0.1636 x4  7 Ag 2.65-2.94, 5 Os 2.90-2.92
Os1 0.0000 0.0000 0.5000 x2  2 Os 2.65, 10 Ag 2.90-2.92



## 3
A plane-wave DFT calculation with PBE was carried out for a geometry-optimized Ag2Os structure.

The total magnetic moment comes out at 8.89 Bohr magnetons per cell.

Unit cell a=6.3628 b=6.3628 c=6.3628 alpha=90.00 beta=90.00 gamma=90.00
Last column: nearest neighbours and their distance in Å.
Space group Pa-3 (No. 205)
Unique sites:
Ag1 0.1285 0.1285 0.1285 x8  3 Os 2.63, 1 Ag 2.83
Os1 0.0000 0.0000 0.5000 x4  6 Ag 2.63



## 4
A plane-wave DFT calculation with PBE was carried out for a geometry-optimized Ag2Os structure.

The total magnetic moment comes out at 2.22 Bohr magnetons per cell.

Unit cell a=4.4203 b=12.2610 c=3.8201 alpha=90.00 beta=90.00 gamma=90.00
Last column: nearest neighbours and their distance in Å.
Space group Cmcm (No. 63)
Unique sites:
Ag1 0.0000 0.0878 0.2500 x4  6 Ag 2.80-2.94, 6 Os 2.85-2.94
Ag2 0.0000 0.2545 0.7500 x4  8 Ag 2.80-2.94, 2 Os 2.97
Os1 0.0000 0.4404 0.2500 x4  2 Os 2.40



It turns out 4 is the most stable, with the second structure 158 meV per atom higher.



## 1
A plane-wave DFT calculation with PBE was carried out for a geometry-optimized Ag2Os structure.

The total magnetic moment comes out at 0.02 Bohr magnetons per cell.

Unit cell a=2.6855 b=2.6855 c=28.0629 alpha=90.00 beta=90.00 gamma=90.00
Last column: nearest neighbours and their distance in Å.
Space group I4_1/amd (No. 141, origin choice 2)
Unique sites:
Ag1 0.0000 0.2500 0.2954 x8  6 Ag 2.69-2.88, 4 Os 2.93
Os1 0.0000 0.2500 0.8750 x4  4 Os 2.69, 8 Ag 2.93



## 2
A plane-wave DFT calculation with PBE was carried out for a geometry-optimized Ag2Os structure.

The total magnetic moment comes out at 0.00 Bohr magnetons per cell.

Unit cell a=2.7725 b=2.7725 c=7.3326 alpha=90.00 beta=90.00 gamma=120.00
Last column: nearest neighbours and their distance in Å.
Space group P-3m1 (No. 164)
Unique sites:
Ag1 0.3333 0.6667 0.1694 x2  9 Ag 2.77-2.96, 3 Os 2.91
Os1 0.0000 0.0000 0.5000 x1  6 Os 2.77, 6 Ag 2.91



## 3
A plane-wave DFT calculation with PBE was carried out for a geometry-optimized Ag2Os structure.

The total magnetic moment comes out at 1.97 Bohr magnetons per cell.

Unit cell a=8.1138 b=8.1138 c=2.6470 alpha=90.00 beta=90.00 gamma=120.00
Last column: nearest neighbours and their distance in Å.
Space group P-62m (No. 189)
Unique sites:
Ag1 0.0000 0.3064 0.0000 x3  2 Ag 2.65, 4 Os 2.82
Ag2 0.0000 0.6378 0.5000 x3  2 Ag 2.65, 5 Os 2.91-2.94
Os1 0.0000 0.0000 0.5000 x1  2 Os 2.65, 9 Ag 2.82-2.94
Os2 0.3333 0.6667 0.0000 x2  2 Os 2.65, 9 Ag 2.82-2.91



It turns out 2 is the most stable, with the second structure 172 meV per atom higher.